This record from Alexandria via LeMat-Bulk describes an optimized crystal structure of Ac5Cd3Ir3. The functional is PBE.

Cell: 5.3468 9.2456 9.2456 Å, 120.00 90.00 90.00°
Sites, in units of the cell vectors:
Ac: 0.5000 0.2397 0.2397
Ac: 0.5000 0.7603 0.0000
Ac: 0.5000 0.3333 0.6667
Ac: 0.5000 0.0000 0.7603
Ac: 0.5000 0.6667 0.3333
Cd: 0.0000 0.6288 0.6288
Cd: 0.0000 0.0000 0.3712
Cd: 0.0000 0.3712 0.0000
Ir: 0.5000 0.0000 0.3738
Ir: 0.5000 0.3738 0.0000
Ir: 0.5000 0.6262 0.6262

Summary:
Space group = No. 189
Magnetization = 0.1 μB/cell
E = -52.751 eV for the cell shown
DOS at the Fermi energy = 0.71 states/eV per atom
Calculated formation energy = -0.2619 eV/atom